Entry from Alexandria: a relaxed structure of BeInBr3 (GGA-PBE).

Values from the calculation:
total DFT energy (no corrections): -14.296 eV/f.u.
energy relative to the lowest polymorph listed for this composition: 27.4 kJ per mole of atoms
density: 4.876 g/cm³

abc: 4.984 4.984 4.984
angles: 90.00 90.00 90.00
Fractional coordinates of all 5 atoms:
Be 0.000 0.000 0.000
In 0.500 0.500 0.500
Br 0.000 0.000 0.500
Br 0.000 0.500 0.000
Br 0.500 0.000 0.000